# 1
A plane-wave DFT calculation with GGA-PBE was carried out for crystalline Tm6ZrIn5 at its relaxed geometry.

a = 9.162 Å, b = 9.162 Å, c = 9.162 Å
α = 146.53°, β = 132.54°, γ = 59.32°
Atoms (fractional coordinates):
Tm  0.080  0.332  0.749
Tm  0.245  0.000  0.245
Tm  0.417  0.668  0.749
Tm  0.583  0.332  0.251
Tm  0.755  0.000  0.755
Tm  0.920  0.668  0.251
Zr  0.500  0.500  0.000
In  0.000  0.500  0.500
In  0.167  0.167  0.000
In  0.344  0.844  0.500
In  0.656  0.156  0.500
In  0.833  0.833  0.000

Properties
VASP energy (eV per atom): -4.446

***

# 2
A plane-wave DFT calculation with GGA-PBE was carried out for crystalline TmZr2In at its relaxed geometry.

a = 10.664 Å, b = 10.664 Å, c = 10.664 Å
α = 17.75°, β = 17.75°, γ = 17.75°
Atoms (fractional coordinates):
Tm  0.000  0.000  0.000
Zr  0.248  0.248  0.248
Zr  0.752  0.752  0.752
In  0.500  0.500  0.500

Properties
E above lowest polymorph (kJ/mol of formula units): 68.4
VASP energy (eV per atom): -6.103

***

no.,total magnetization (μB per cell),ΔH_f (0 K) (eV/atom)
1,2.5,-0.36
2,0.0,-0.03